First-principles (PBE) data for a relaxed structure of BaNaAcAl, as listed in Alexandria via LeMat-Bulk.

Lattice parameters (Å, degrees): 5.917 5.917 5.917 60.00 60.00 60.00
Fractional coordinates of all 4 atoms:
Ba1 0.000 0.000 0.000
Na1 0.750 0.750 0.750
Ac1 0.500 0.500 0.500
Al1 0.250 0.250 0.250

Values from the calculation:
- E_tot (eV/atom) = -2.747
- Fermi-level density of states (states/eV/cell) = 4.70



First-principles (PBE) data for a relaxed structure of EuTm2Pa, as listed in Alexandria via LeMat-Bulk.

Lattice parameters (Å, degrees): 3.461 3.461 10.260 90.00 90.00 90.00
Fractional coordinates of all 4 atoms:
Eu1 0.000 0.000 0.000
Tm1 0.500 0.500 0.281
Tm2 0.500 0.500 0.719
Pa1 0.000 0.000 0.500

Values from the calculation:
- E above lowest polymorph (eV per formula unit) = 0.000
- E_tot (eV/atom) = -7.035
- Fermi-level density of states (states/eV/cell) = 5.99



First-principles (PBE) data for a relaxed structure of Na2HoHg6, as listed in Alexandria via LeMat-Bulk.

Lattice parameters (Å, degrees): 8.768 8.768 3.331 90.00 90.00 120.00
Fractional coordinates of all 9 atoms:
Na1 0.333 0.667 0.000
Na2 0.667 0.333 0.000
Ho1 0.000 0.000 0.000
Hg1 0.000 0.335 0.500
Hg2 0.000 0.665 0.500
Hg3 0.335 0.000 0.500
Hg4 0.335 0.335 0.500
Hg5 0.665 0.000 0.500
Hg6 0.665 0.665 0.500

Values from the calculation:
- E_tot (eV/atom) = -1.255
- Fermi-level density of states (states/eV/cell) = 4.93



First-principles (PBE) data for a relaxed structure of Cu2Ag2Sb, as listed in Alexandria via LeMat-Bulk.

Lattice parameters (Å, degrees): 7.600 7.600 3.040 90.00 90.00 90.00
Fractional coordinates of all 10 atoms:
Cu1 0.163 0.337 0.000
Cu2 0.337 0.837 0.000
Cu3 0.663 0.163 0.000
Cu4 0.837 0.663 0.000
Ag1 0.132 0.632 0.500
Ag2 0.368 0.132 0.500
Ag3 0.632 0.868 0.500
Ag4 0.868 0.368 0.500
Sb1 0.000 0.000 0.500
Sb2 0.500 0.500 0.500

Values from the calculation:
- E above lowest polymorph (eV per formula unit) = 0.347
- E_tot (eV/atom) = -3.401
- Fermi-level density of states (states/eV/cell) = 4.89



First-principles (PBE) data for a relaxed structure of ScCo3Rh, as listed in Alexandria via LeMat-Bulk.

Lattice parameters (Å, degrees): 4.507 4.507 4.507 90.00 90.00 90.00
Fractional coordinates of all 5 atoms:
Sc1 0.000 0.000 0.000
Co1 0.000 0.500 0.500
Co2 0.500 0.000 0.500
Co3 0.500 0.500 0.000
Rh1 0.500 0.500 0.500

Values from the calculation:
- E above lowest polymorph (eV per formula unit) = 0.000
- E_tot (eV/atom) = -6.189
- Fermi-level density of states (states/eV/cell) = 5.39



First-principles (PBE) data for a relaxed structure of BeZnBr2, as listed in Alexandria via LeMat-Bulk.

Lattice parameters (Å, degrees): 4.870 4.870 3.445 90.00 90.00 90.00
Fractional coordinates of all 4 atoms:
Be1 0.000 0.000 0.000
Zn1 0.500 0.500 0.000
Br1 0.000 0.500 0.500
Br2 0.500 0.000 0.500

Values from the calculation:
- E above lowest polymorph (eV per formula unit) = 3.209
- E_tot (eV/atom) = -1.641
- Fermi-level density of states (states/eV/cell) = 2.23



First-principles (PBE) data for a relaxed structure of Mg5Ti, as listed in Alexandria via LeMat-Bulk.

Lattice parameters (Å, degrees): 5.154 8.336 8.336 21.32 90.00 90.00
Fractional coordinates of all 6 atoms:
Mg1 0.000 0.000 0.000
Mg2 0.000 0.325 0.325
Mg3 0.500 0.108 0.108
Mg4 0.500 0.439 0.439
Mg5 0.500 0.767 0.767
Ti1 0.000 0.662 0.662

Values from the calculation:
- E_tot (eV/atom) = -2.537
- Fermi-level density of states (states/eV/cell) = 3.97



First-principles (PBE) data for a relaxed structure of RbAuI3, as listed in Alexandria via LeMat-Bulk.

Lattice parameters (Å, degrees): 5.829 6.982 12.811 104.94 97.85 93.59
Fractional coordinates of all 10 atoms:
Rb1 0.000 0.000 0.000
Rb2 0.246 0.961 0.561
Au1 0.123 0.480 0.781
Au2 0.624 0.480 0.281
I1 0.294 0.157 0.302
I2 0.419 0.788 0.815
I3 0.554 0.377 0.066
I4 0.693 0.583 0.496
I5 0.827 0.173 0.746
I6 0.955 0.803 0.259

Values from the calculation:
- E_tot (eV/atom) = -2.406
- Fermi-level density of states (states/eV/cell) = 0.00